1.
The following is a PBE calculation of an optimized crystal structure of ErTmC2Br2, from OQMD.

Calculated values
E_tot: -6.207 eV per atom
ρ: 6.2 g/cm³

Unit cell a=6.9503 b=3.7259 c=10.8807 alpha=90.00 beta=94.93 gamma=90.00
Sites, in units of the cell vectors:
1 Er 0.0000 0.0000 0.0000
2 Er 0.5000 0.5000 0.0000
3 Tm 0.2895 0.0000 0.2620
4 Tm 0.7895 0.5000 0.2620
5 C 0.0694 0.5000 0.1666
6 C 0.2204 0.5000 0.0976
7 C 0.5694 0.0000 0.1666
8 C 0.7204 0.0000 0.0976
9 Br 0.3221 0.0000 0.8268
10 Br 0.4663 0.5000 0.4339
11 Br 0.8221 0.5000 0.8268
12 Br 0.9663 0.0000 0.4339

***

2.
The following is a PBE calculation of an optimized crystal structure of Y2Er2CBr5, from OQMD.

Calculated values
E_tot: -5.389 eV per atom
ρ: 5.8 g/cm³

Unit cell a=9.0852 b=9.0852 c=8.0498 alpha=102.58 beta=102.58 gamma=24.05
Sites, in units of the cell vectors:
1 Y 0.1386 0.1386 0.0716
2 Y 0.8614 0.8614 0.9284
3 Er 0.4992 0.4992 0.1996
4 Er 0.5008 0.5008 0.8004
5 C 0.0000 0.0000 0.0000
6 Br 0.0000 0.0000 0.5000
7 Br 0.3315 0.3315 0.1780
8 Br 0.3381 0.3381 0.6565
9 Br 0.6619 0.6619 0.3435
10 Br 0.6685 0.6685 0.8220

***

- Look up the ρ of the second one.
  5.8 g/cm³

***

- Among the records above, which one has the highest ρ?
  ErTmC2Br2

***

- Which value of E_tot does entry 1 give?
  -6.207 eV per atom